Hg3Pd7 (PBE, relaxed); crystal system = monoclinic; symmetry = No. 12; DOS at the Fermi energy = 10.1 states/eV/cell
1.0
4.134 0.000 0.000
0.000 5.741 0.095
-2.067 -1.785 7.106
Pd Hg
7 3
Direct
0.599 0.810 0.199
0.201 0.108 0.401
0.400 0.693 0.800
0.600 0.307 0.200
0.000 0.500 0.000
0.401 0.190 0.801
0.799 0.892 0.599
0.000 0.000 0.000
0.804 0.387 0.608
0.196 0.613 0.392

---

ScAg (PBE, relaxed); crystal system = cubic; symmetry = No. 216; DOS at the Fermi energy = 1.0 states/eV/cell
1.0
-2.927 -2.870 1.539
1.100 -4.212 0.466
0.499 -1.702 4.003
Ag Sc
1 1
Direct
0.000 0.000 0.000
0.250 0.250 0.250

---

DyScGeIr (PBE, relaxed); crystal system = cubic; symmetry = No. 216; DOS at the Fermi energy = 2.4 states/eV/cell
1.0
4.820 0.000 0.000
2.410 4.175 0.000
2.410 1.392 3.936
Dy Ge Ir Sc
1 1 1 1
Direct
0.750 0.750 0.750
0.500 0.500 0.500
0.000 0.000 0.000
0.250 0.250 0.250

---

Number 1: formation energy -0.12 eV per atom. Number 2: formation energy 0.60 eV per atom. Number 3: formation energy -0.70 eV per atom.